Crystalline TbPm2Nd6Dy3 at its relaxed geometry, computed with PBE-GGA.

a b c (Å): 6.3035 6.3035 11.9758
angles (deg): 95.03 95.03 120.00
Closest atoms and distances in Å follow each position.
Sites, in units of the cell vectors:
Tb (0.0000, 0.0000, 0.0000)  6 Pm 3.64, 6 Nd 3.64
Pm (0.3333, 0.6667, 0.0000)  3 Tb 3.64, 3 Pm 3.64, 6 Nd 3.64-3.65
Pm (0.6667, 0.3333, 0.0000)  3 Tb 3.64, 3 Pm 3.64, 6 Nd 3.64-3.65
Nd (0.9158, 0.5831, 0.7477)  3 Dy 3.60, 6 Nd 3.63-3.64, 1 Tb 3.64, 2 Pm 3.64
Nd (0.7514, 0.7514, 0.2525)  3 Dy 3.59-3.60, 6 Nd 3.63-3.64, 1 Tb 3.64, 2 Pm 3.65
Nd (0.0842, 0.4169, 0.2523)  3 Dy 3.60, 6 Nd 3.63-3.64, 1 Tb 3.64, 2 Pm 3.64
Nd (0.5831, 0.9158, 0.7477)  3 Dy 3.60, 6 Nd 3.63-3.64, 1 Tb 3.64, 2 Pm 3.64
Nd (0.2486, 0.2486, 0.7475)  3 Dy 3.59-3.60, 6 Nd 3.63-3.64, 1 Tb 3.64, 2 Pm 3.65
Nd (0.4169, 0.0842, 0.2523)  3 Dy 3.60, 6 Nd 3.63-3.64, 1 Tb 3.64, 2 Pm 3.64
Dy (0.1665, 0.8335, 0.5000)  6 Nd 3.59-3.60, 6 Dy 3.64
Dy (0.8335, 0.1665, 0.5000)  6 Nd 3.59-3.60, 6 Dy 3.64
Dy (0.5000, 0.5000, 0.5000)  6 Nd 3.60, 6 Dy 3.64

## Properties
Volume   33.81 Å³ per atom
Total moment   0.00 μB per formula unit
Formation energy   0.012 eV/atom